The following is a DFT calculation (PBE-GGA) of an optimized crystal structure of NpFeCo4.

ΔE to the lowest computed polymorph = 40 meV per atom
energy of formation = 0.160 eV/f.u.
calculated total energy = -0.608 Ry/atom

CIF file:
```
data_NpFeCo4
_space_group_name_H-M_alt 'P 1'
_space_group_IT_number 1
_cell_length_a 4.7714
_cell_length_b 4.7714
_cell_length_c 7.9326
_cell_angle_alpha 90.00
_cell_angle_beta 90.00
_cell_angle_gamma 120.00
loop_
_space_group_symop_operation_xyz
'x,y,z'
loop_
_atom_site_label
_atom_site_type_symbol
_atom_site_fract_x
_atom_site_fract_y
_atom_site_fract_z
Np1 Np 0.3333 0.6667 0.4154
Np2 Np 0.6667 0.3333 0.5846
Fe1 Fe 0.6667 0.3333 0.9549
Fe2 Fe 0.3333 0.6667 0.0451
Co1 Co 0.0000 0.0000 0.5000
Co2 Co 0.0000 0.0000 0.0000
Co3 Co 0.8310 0.1690 0.2360
Co4 Co 0.8310 0.6621 0.2360
Co5 Co 0.3379 0.1690 0.2360
Co6 Co 0.1690 0.8310 0.7640
Co7 Co 0.1690 0.3379 0.7640
Co8 Co 0.6621 0.8310 0.7640
```